The following is a DFT calculation (GGA-PBE) of a relaxed structure of RuCI3.

## Properties
**Crystal system**: cubic
**Energy relative to the lowest polymorph listed for this composition**: 51 meV per atom
**Symmetry**: Pm-3m (221)
**Formation energy (no corrections)**: 9.18 eV/f.u.
**Calculated volume**: 30.5 Å³ per atom
**Total energy**: -14.0 eV for the cell shown

```
5
Lattice="-3.722 -3.821 -0.321 2.340 -2.618 4.028 -3.038 2.665 3.497" Properties=species:S:1:pos:R:3 pbc="T T T"
I 1.170 -1.309 2.014
I -1.519 1.333 1.748
I -1.861 -1.910 -0.161
Ru 0.000 0.000 0.000
C -2.210 -1.887 3.602
```